Material: FeSiAgMo
Method: DFT, PBE
State: relaxed

Calculated values
- total magnetization (μB/atom) = 0.503
- total energy (eV per atom) = -6.51

a b c (Å): 4.2893 4.2893 4.2893
angles (deg): 60.00 60.00 60.00
Last column: nearest neighbours and their distance in Å.
Positions (direct):
1 Fe 0.7500 0.7500 0.7500  4 Ag 2.63, 4 Si 2.63
2 Mo 0.2500 0.2500 0.2500  4 Ag 2.63, 4 Si 2.63
3 Ag 0.5000 0.5000 0.5000  4 Mo 2.63, 4 Fe 2.63
4 Si 0.0000 0.0000 0.0000  4 Fe 2.63, 4 Mo 2.63

---

Material: TlFeAgMo
Method: DFT, PBE
State: relaxed

Calculated values
- total magnetization (μB/atom) = 0.153
- total energy (eV per atom) = -5.37

a b c (Å): 4.5887 4.5887 4.5887
angles (deg): 60.00 60.00 60.00
Last column: nearest neighbours and their distance in Å.
Positions (direct):
1 Ag 0.2500 0.2500 0.2500  4 Mo 2.81, 4 Tl 2.81
2 Mo 0.5000 0.5000 0.5000  4 Ag 2.81, 4 Fe 2.81
3 Fe 0.7500 0.7500 0.7500  4 Mo 2.81, 4 Tl 2.81
4 Tl 0.0000 0.0000 0.0000  4 Ag 2.81, 4 Fe 2.81

---

Material: ZnFeAgMo
Method: DFT, PBE
State: relaxed

Calculated values
- ΔE_f (eV per atom) = 0.43
- total magnetization (μB/atom) = 0.309

a b c (Å): 4.3771 4.3771 4.3771
angles (deg): 60.00 60.00 60.00
Last column: nearest neighbours and their distance in Å.
Positions (direct):
1 Zn 0.0000 0.0000 0.0000  4 Fe 2.68, 4 Ag 2.68
2 Mo 0.5000 0.5000 0.5000  4 Fe 2.68, 4 Ag 2.68
3 Ag 0.2500 0.2500 0.2500  4 Mo 2.68, 4 Zn 2.68
4 Fe 0.7500 0.7500 0.7500  4 Mo 2.68, 4 Zn 2.68

---

Q: Which formula does entry 1 have?
A: FeSiAgMo